1.
First-principles (GGA-PBE) data for an optimized crystal structure of MgBeAs, as listed in the Alexandria database.

Output
As for the crystal system: orthorhombic. The value obtained for the formation energy is 0.19 eV/atom. The value obtained for the excess energy over the best structure of this formula in the dataset is 0.365 eV per atom.

Geometry as POSCAR:
```
MgBeAs
1.0
-5.0231 -2.7897 1.6706
-2.7510 -3.4702 3.6818
-1.8571 2.0166 1.4680
As Mg Be
1 1 1
Direct
0.9682 0.9682 0.0318 As
0.6791 0.6791 0.3209 Mg
0.3527 0.3527 0.6473 Be
```

=====

2.
First-principles (GGA-PBE) data for an optimized crystal structure of KCdHg2, as listed in the Alexandria database.

Output
As for the crystal system: orthorhombic. The value obtained for the formation energy is -0.15 eV/atom.

Geometry as POSCAR:
```
KCdHg2
1.0
-2.3612 -1.7599 -2.1542
3.0251 -1.2228 -2.3169
0.8041 -6.6774 4.5739
Cd K Hg
1 1 2
Direct
0.5000 0.5000 0.7500 Cd
0.5000 0.5000 0.2500 K
0.0000 0.0000 0.9629 Hg
0.0000 0.0000 0.5371 Hg
```

=====

3.
First-principles (GGA-PBE) data for an optimized crystal structure of TmMn5Ge3, as listed in the Alexandria database.

Output
As for the crystal system: orthorhombic. The value obtained for the formation energy is -0.17 eV/atom.

Geometry as POSCAR:
```
TmMn5Ge3
1.0
3.8908 0.0000 0.0000
-1.9454 6.1763 0.0000
0.0000 0.0000 11.3959
Mn Ge Tm
10 6 2
Direct
0.1937 0.3873 0.5461 Mn
0.4268 0.8536 0.3652 Mn
0.0000 0.0000 0.5000 Mn
0.5732 0.1464 0.8652 Mn
0.8063 0.6127 0.0461 Mn
0.4268 0.8536 0.1348 Mn
0.8063 0.6127 0.4539 Mn
0.0000 0.0000 0.0000 Mn
0.5732 0.1464 0.6348 Mn
0.1937 0.3873 0.9539 Mn
0.6150 0.2300 0.4263 Ge
0.3850 0.7700 0.9263 Ge
0.8770 0.7539 0.2500 Ge
0.3850 0.7700 0.5737 Ge
0.6150 0.2300 0.0737 Ge
0.1230 0.2461 0.7500 Ge
0.8231 0.6463 0.7500 Tm
0.1769 0.3537 0.2500 Tm
```

=====

4.
First-principles (GGA-PBE) data for an optimized crystal structure of RbIrOF2, as listed in the Alexandria database.

Output
For the energy relative to the elements, uncorrected, the calculation gives 0.717 eV per atom. As for the crystal system: tetragonal. The value obtained for the excess energy over the best structure of this formula in the dataset is 2.106 eV per atom.

Geometry as POSCAR:
```
RbIrOF2
1.0
-3.6074 -2.9641 1.2791
0.1998 -2.1194 -4.3478
2.9305 -2.8986 1.5477
O F Rb Ir
1 2 1 1
Direct
0.0000 0.0000 0.5000 O
0.0000 0.5000 0.0000 F
0.5000 0.0000 0.0000 F
0.0000 0.0000 0.0000 Rb
0.5000 0.5000 0.5000 Ir
```

=====

5.
First-principles (GGA-PBE) data for an optimized crystal structure of MnCuRuPt, as listed in the Alexandria database.

Output
As for the crystal system: cubic. The value obtained for the formation energy is -0.02 eV/atom.

Geometry as POSCAR:
```
MnCuRuPt
1.0
4.2547 0.0000 0.0000
2.1274 3.6847 0.0000
2.1274 1.2282 3.4740
Ru Mn Cu Pt
1 1 1 1
Direct
0.2500 0.2500 0.2500 Ru
0.0000 0.0000 0.0000 Mn
0.5000 0.5000 0.5000 Cu
0.7500 0.7500 0.7500 Pt
```

=====

6.
First-principles (GGA-PBE) data for an optimized crystal structure of NaCdAs, as listed in the Alexandria database.

Output
As for the crystal system: orthorhombic. The value obtained for the formation energy is -0.39 eV/atom.

Geometry as POSCAR:
```
NaCdAs
1.0
4.5152 0.0000 0.0000
0.0000 7.6195 0.0000
0.0000 0.0000 8.1642
As Na Cd
4 4 4
Direct
0.2500 0.2784 0.1093 As
0.7500 0.7216 0.8907 As
0.7500 0.2216 0.6093 As
0.2500 0.7784 0.3907 As
0.7500 0.4814 0.3265 Na
0.7500 0.9814 0.1735 Na
0.2500 0.0186 0.8265 Na
0.2500 0.5186 0.6735 Na
0.2500 0.1503 0.4255 Cd
0.7500 0.8497 0.5745 Cd
0.7500 0.3497 0.9255 Cd
0.2500 0.6503 0.0745 Cd
```

=====

7.
First-principles (GGA-PBE) data for an optimized crystal structure of LaRuC2, as listed in the Alexandria database.

Output
As for the crystal system: monoclinic. The value obtained for the formation energy is 0.00 eV/atom. The value obtained for the excess energy over the best structure of this formula in the dataset is 0.158 eV per atom.

Geometry as POSCAR:
```
LaRuC2
1.0
6.9011 0.0000 -0.0050
0.0000 3.9021 0.0000
-6.3934 0.0000 8.4635
La Ru C
4 4 8
Direct
0.3192 0.0000 0.0762 La
0.6808 0.5000 0.4238 La
0.6808 0.0000 0.9238 La
0.3192 0.5000 0.5762 La
0.9148 0.5000 0.7930 Ru
0.9148 0.0000 0.2930 Ru
0.0852 0.5000 0.2070 Ru
0.0852 0.0000 0.7070 Ru
0.0000 0.5000 0.0000 C
0.7178 0.5000 0.1520 C
0.2822 0.0000 0.3480 C
0.0000 0.0000 0.5000 C
0.5000 0.5000 0.0000 C
0.5000 0.0000 0.5000 C
0.7178 0.0000 0.6520 C
0.2822 0.5000 0.8480 C
```

=====

8.
First-principles (GGA-PBE) data for an optimized crystal structure of KReTc2Pt, as listed in the Alexandria database.

Output
As for the crystal system: tetragonal. The value obtained for the formation energy is 1.98 eV/atom.

Geometry as POSCAR:
```
KReTc2Pt
1.0
5.1049 0.0000 0.0000
0.0000 4.8273 0.0000
0.0000 0.0000 5.1049
Tc Pt K Re
2 1 1 1
Direct
0.0000 0.0000 0.5000 Tc
0.5000 0.0000 0.0000 Tc
0.0000 0.0000 0.0000 Pt
0.5000 0.5000 0.5000 K
0.0000 0.5000 0.0000 Re
```

=====

9.
First-principles (GGA-PBE) data for an optimized crystal structure of KRbTe3, as listed in the Alexandria database.

Output
For the energy relative to the elements, uncorrected, the calculation gives 0.224 eV per atom. As for the crystal system: cubic. The value obtained for the excess energy over the best structure of this formula in the dataset is 0.871 eV per atom.

Geometry as POSCAR:
```
KRbTe3
1.0
-0.8498 -4.5446 4.4564
4.7370 -3.4545 -2.6196
4.2513 2.9408 3.8097
K Rb Te
1 1 3
Direct
0.5000 0.5000 0.5000 K
0.0000 0.0000 0.0000 Rb
0.0000 0.0000 0.5000 Te
0.5000 0.0000 0.0000 Te
0.0000 0.5000 0.0000 Te
```

=====

10.
First-principles (GGA-PBE) data for an optimized crystal structure of RbInGa, as listed in the Alexandria database.

Output
As for the crystal system: trigonal. The value obtained for the formation energy is -0.04 eV/atom. The value obtained for the excess energy over the best structure of this formula in the dataset is 0.054 eV per atom.

Geometry as POSCAR:
```
RbInGa
1.0
5.8509 0.0000 0.0000
0.0000 4.7214 0.0000
0.0000 -2.3607 4.0888
Rb In Ga
1 1 1
Direct
0.6664 0.6667 0.3333 Rb
0.1663 0.0000 0.0000 In
0.1673 0.3333 0.6667 Ga
```

=====

11.
First-principles (GGA-PBE) data for an optimized crystal structure of KRb2Na, as listed in the Alexandria database.

Output
As for the crystal system: tetragonal. The value obtained for the formation energy is 0.03 eV/atom. The value obtained for the excess energy over the best structure of this formula in the dataset is 0.009 eV per atom.

Geometry as POSCAR:
```
KRb2Na
1.0
6.4149 0.0000 0.0000
0.0000 6.6521 0.0000
0.0000 0.0000 6.6521
K Rb Na
1 2 1
Direct
0.5000 0.5000 0.5000 K
0.0000 0.5000 0.0000 Rb
0.0000 0.0000 0.5000 Rb
0.5000 0.0000 0.0000 Na
```

=====

12.
First-principles (GGA-PBE) data for an optimized crystal structure of RhW3Cl, as listed in the Alexandria database.

Output
For the energy relative to the elements, uncorrected, the calculation gives 1.485 eV per atom. As for the crystal system: cubic.

Geometry as POSCAR:
```
RhW3Cl
1.0
-0.3262 4.2911 -0.7274
-4.0377 -0.0260 1.6569
1.6247 0.7968 3.9718
W Cl Rh
3 1 1
Direct
0.5000 0.0000 0.0000 W
0.0000 0.0000 0.5000 W
0.0000 0.5000 0.0000 W
0.0000 0.0000 0.0000 Cl
0.5000 0.5000 0.5000 Rh
```

=====

13.
First-principles (GGA-PBE) data for an optimized crystal structure of TlRh2, as listed in the Alexandria database.

Output
As for the crystal system: hexagonal. The value obtained for the formation energy is 0.30 eV/atom. The value obtained for the excess energy over the best structure of this formula in the dataset is 0.124 eV per atom.

Geometry as POSCAR:
```
TlRh2
1.0
2.1921 -3.7968 0.0000
2.1921 3.7968 0.0000
0.0000 0.0000 6.5146
Rh Tl
4 2
Direct
0.3333 0.6667 0.9536 Rh
0.3333 0.6667 0.5464 Rh
0.6667 0.3333 0.4536 Rh
0.6667 0.3333 0.0464 Rh
0.0000 0.0000 0.2500 Tl
0.0000 0.0000 0.7500 Tl
```

=====

Number 1: mass density 3.548 g/cm³. Number 2: mass density 7.728 g/cm³. Number 3: mass density 8.023 g/cm³. Number 4: mass density 5.338 g/cm³. Number 5: mass density 12.642 g/cm³. Number 6: mass density 4.974 g/cm³. Number 7: mass density 7.698 g/cm³. Number 8: mass density 8.136 g/cm³. Number 9: mass density 3.182 g/cm³. Number 10: mass density 3.969 g/cm³. Number 11: mass density 1.363 g/cm³. Number 12: mass density 13.778 g/cm³. Number 13: mass density 12.563 g/cm³.